Record 1
Here is crystalline CaZn2Te2 at its relaxed geometry from the Alexandria database. Energies are from GGA-PBE.

Computed properties:
Magnetization in μB/f.u.: 0.00
Calculated total energy in eV for the cell shown: -13.4
Offset from the most stable computed form in meV/atom: 0.0

CIF file:
```
data_CaZn2Te2
_chemical_formula_sum 'Ca1 Zn2 Te2'
_cell_length_a 5.888
_cell_length_b 5.888
_cell_length_c 5.888
_cell_angle_alpha 125.14
_cell_angle_beta 125.14
_cell_angle_gamma 81.31
_symmetry_space_group_name_H-M 'P 1'
_symmetry_Int_Tables_number 1
loop_
_symmetry_equiv_pos_as_xyz
'x,y,z'
loop_
_atom_site_label
_atom_site_fract_x
_atom_site_fract_y
_atom_site_fract_z
Ca1 0.000 0.000 0.000
Zn1 0.365 0.365 0.000
Zn2 0.635 0.635 0.000
Te1 0.250 0.750 0.500
Te2 0.750 0.250 0.500
```

---

Record 2
Here is crystalline TmNp3Tl3S8 at its relaxed geometry from the Alexandria database. Energies are from GGA-PBE.

Computed properties:
Magnetization in μB/f.u.: 11.00
Calculated total energy in eV for the cell shown: -101.6

CIF file:
```
data_TmNp3Tl3S8
_chemical_formula_sum 'Tm1 Np3 Tl3 S8'
_cell_length_a 8.840
_cell_length_b 8.840
_cell_length_c 8.840
_cell_angle_alpha 54.03
_cell_angle_beta 54.03
_cell_angle_gamma 54.03
_symmetry_space_group_name_H-M 'P 1'
_symmetry_Int_Tables_number 1
loop_
_symmetry_equiv_pos_as_xyz
'x,y,z'
loop_
_atom_site_label
_atom_site_fract_x
_atom_site_fract_y
_atom_site_fract_z
Tm1 0.000 0.000 0.000
Np1 0.000 0.500 0.500
Np2 0.500 0.000 0.500
Np3 0.500 0.500 0.000
Tl1 0.000 0.000 0.500
Tl2 0.000 0.500 0.000
Tl3 0.500 0.000 0.000
S1 0.230 0.230 0.732
S2 0.230 0.732 0.230
S3 0.268 0.770 0.770
S4 0.269 0.269 0.269
S5 0.731 0.731 0.731
S6 0.732 0.230 0.230
S7 0.770 0.268 0.770
S8 0.770 0.770 0.268
```

---

Record 3
Here is crystalline ScSi2Ir4 at its relaxed geometry from the Alexandria database. Energies are from GGA-PBE.

Computed properties:
Magnetization in μB/f.u.: 0.00
Calculated total energy in eV for the cell shown: -46.5
Offset from the most stable computed form in meV/atom: 1642.6

CIF file:
```
data_ScSi2Ir4
_chemical_formula_sum 'Sc1 Si2 Ir4'
_cell_length_a 6.916
_cell_length_b 6.916
_cell_length_c 6.916
_cell_angle_alpha 140.69
_cell_angle_beta 140.69
_cell_angle_gamma 56.81
_symmetry_space_group_name_H-M 'P 1'
_symmetry_Int_Tables_number 1
loop_
_symmetry_equiv_pos_as_xyz
'x,y,z'
loop_
_atom_site_label
_atom_site_fract_x
_atom_site_fract_y
_atom_site_fract_z
Sc1 0.000 0.000 0.000
Si1 0.400 0.400 0.000
Si2 0.600 0.600 0.000
Ir1 0.000 0.500 0.500
Ir2 0.218 0.218 0.000
Ir3 0.500 0.000 0.500
Ir4 0.782 0.782 0.000
```

---

Record 4
Here is crystalline BaPa2IO8 at its relaxed geometry from the Alexandria database. Energies are from GGA-PBE.

Computed properties:
Magnetization in μB/f.u.: 0.96
Calculated total energy in eV for the cell shown: -92.5

CIF file:
```
data_BaPa2IO8
_chemical_formula_sum 'Ba1 Pa2 I1 O8'
_cell_length_a 5.503
_cell_length_b 7.163
_cell_length_c 5.604
_cell_angle_alpha 90.00
_cell_angle_beta 96.78
_cell_angle_gamma 90.00
_symmetry_space_group_name_H-M 'P 1'
_symmetry_Int_Tables_number 1
loop_
_symmetry_equiv_pos_as_xyz
'x,y,z'
loop_
_atom_site_label
_atom_site_fract_x
_atom_site_fract_y
_atom_site_fract_z
Ba1 0.000 0.000 0.000
Pa1 0.500 0.256 0.500
Pa2 0.500 0.744 0.500
I1 0.000 0.500 0.000
O1 0.200 0.295 0.205
O2 0.200 0.705 0.205
O3 0.345 0.500 0.653
O4 0.347 0.000 0.657
O5 0.653 0.000 0.343
O6 0.655 0.500 0.347
O7 0.800 0.295 0.795
O8 0.800 0.705 0.795
```

---

Record 5
Here is crystalline In2Co at its relaxed geometry from the Alexandria database. Energies are from GGA-PBE.

Computed properties:
Magnetization in μB/f.u.: 0.02
Energy of formation from the pure elements in eV per atom: 0.073
Calculated total energy in eV for the cell shown: -24.7

CIF file:
```
data_In2Co
_chemical_formula_sum 'In4 Co2'
_cell_length_a 6.575
_cell_length_b 6.575
_cell_length_c 6.445
_cell_angle_alpha 90.00
_cell_angle_beta 90.00
_cell_angle_gamma 153.67
_symmetry_space_group_name_H-M 'P 1'
_symmetry_Int_Tables_number 1
loop_
_symmetry_equiv_pos_as_xyz
'x,y,z'
loop_
_atom_site_label
_atom_site_fract_x
_atom_site_fract_y
_atom_site_fract_z
In1 0.006 0.994 0.500
In2 0.247 0.753 0.966
In3 0.753 0.247 0.466
In4 0.994 0.006 0.000
Co1 0.386 0.614 0.258
Co2 0.614 0.386 0.758
```

---

Record 6
Here is crystalline Tb6Ho8Sc at its relaxed geometry from the Alexandria database. Energies are from GGA-PBE.

Computed properties:
Magnetization in μB/f.u.: 0.00
Energy of formation from the pure elements in eV per atom: 0.144
Calculated total energy in eV for the cell shown: -68.6
Offset from the most stable computed form in meV/atom: 24.3

CIF file:
```
data_Tb6Ho8Sc
_chemical_formula_sum 'Tb6 Ho8 Sc1'
_cell_length_a 9.775
_cell_length_b 9.775
_cell_length_c 5.723
_cell_angle_alpha 90.00
_cell_angle_beta 90.00
_cell_angle_gamma 120.00
_symmetry_space_group_name_H-M 'P 1'
_symmetry_Int_Tables_number 1
loop_
_symmetry_equiv_pos_as_xyz
'x,y,z'
loop_
_atom_site_label
_atom_site_fract_x
_atom_site_fract_y
_atom_site_fract_z
Tb1 0.092 0.622 0.241
Tb2 0.378 0.469 0.241
Tb3 0.469 0.092 0.759
Tb4 0.531 0.908 0.241
Tb5 0.622 0.531 0.759
Tb6 0.908 0.378 0.759
Ho1 0.051 0.781 0.732
Ho2 0.219 0.270 0.732
Ho3 0.270 0.051 0.268
Ho4 0.333 0.667 0.734
Ho5 0.667 0.333 0.266
Ho6 0.730 0.949 0.732
Ho7 0.781 0.730 0.268
Ho8 0.949 0.219 0.268
Sc1 0.000 0.000 0.000
```